# 1
# Na3CuC

A relaxed structure of Na3CuC (GGA-PBE, the Alexandria database).

- formation energy from the elements (eV/atom) = 1.012
- calculated density (Mg/m³) = 2.0
- relative energy among the computed polymorphs (meV/atom) = 0.0

CIF file:
```
data_Na3CuC
_chemical_formula_sum 'Na3 Cu1 C1'
_space_group_name_H-M_alt 'P m -3 m'
_space_group_IT_number 221
_space_group_name_Hall '-P 4 2 3'
_cell_length_a 4.9036
_cell_length_b 4.9036
_cell_length_c 4.9036
_cell_angle_alpha 90.00
_cell_angle_beta 90.00
_cell_angle_gamma 90.00
loop_
_atom_site_label
_atom_site_type_symbol
_atom_site_fract_x
_atom_site_fract_y
_atom_site_fract_z
Na1 Na 0.0000 0.0000 0.5000
Cu1 Cu 0.5000 0.5000 0.5000
C1 C 0.0000 0.0000 0.0000
```


# 2
# NaCuC2

A relaxed structure of NaCuC2 (GGA-PBE, the Alexandria database).

- formation energy from the elements (eV/atom) = 1.417
- calculated density (Mg/m³) = 3.9

CIF file:
```
data_NaCuC2
_chemical_formula_sum 'Na4 Cu4 C8'
_space_group_name_H-M_alt 'I 41/a m d'
_space_group_IT_number 141
_cell_length_a 3.7421
_cell_length_b 3.7421
_cell_length_c 13.5842
_cell_angle_alpha 90.00
_cell_angle_beta 90.00
_cell_angle_gamma 90.00
loop_
_space_group_symop_operation_xyz
'x,y,z'
'-x,-y,-z'
'-y+1/4,x+3/4,z+1/4'
'y+1/4,-x+3/4,-z+1/4'
'-x+1/2,-y,z+1/2'
'x+1/2,y,-z+1/2'
'y+1/4,-x+1/4,z+3/4'
'-y+1/4,x+1/4,-z+3/4'
'x,-y,-z'
'-x,y,z'
'-y+1/4,-x+1/4,-z+3/4'
'y+1/4,x+1/4,z+3/4'
'-x+1/2,y,-z+1/2'
'x+1/2,-y,z+1/2'
'y+1/4,x+3/4,-z+1/4'
'-y+1/4,-x+3/4,z+1/4'
'x+1/2,y+1/2,z+1/2'
'-x+1/2,-y+1/2,-z+1/2'
'-y+3/4,x+1/4,z+3/4'
'y+3/4,-x+1/4,-z+3/4'
'-x,-y+1/2,z'
'x,y+1/2,-z'
'y+3/4,-x+3/4,z+1/4'
'-y+3/4,x+3/4,-z+1/4'
'x+1/2,-y+1/2,-z+1/2'
'-x+1/2,y+1/2,z+1/2'
'-y+3/4,-x+3/4,-z+1/4'
'y+3/4,x+3/4,z+1/4'
'-x,y+1/2,-z'
'x,-y+1/2,z'
'y+3/4,x+1/4,-z+3/4'
'-y+3/4,-x+1/4,z+3/4'
loop_
_atom_site_label
_atom_site_type_symbol
_atom_site_fract_x
_atom_site_fract_y
_atom_site_fract_z
Na1 Na 0.0000 0.2500 0.3750
Cu1 Cu 0.0000 0.2500 0.8750
C1 C 0.0000 0.0000 0.0000
```


Q: Look up the calculated density of the second one.
A: 3.9 Mg/m³


Q: What is the formula in the second record?
A: NaCuC2